[1]
A plane-wave DFT calculation with PBE-GGA was carried out for TbPr2Tl2 after structural relaxation. Values from VASP.

```
&SYSTEM
  ibrav = 0, nat = 10, ntyp = 3
/
ATOMIC_SPECIES
Pr 140.91 Pr.upf
Tl 204.38 Tl.upf
Tb 158.93 Tb.upf
CELL_PARAMETERS angstrom
-1.184 -0.588 -3.613
1.473 -5.289 0.379
-12.623 -3.037 6.684
ATOMIC_POSITIONS angstrom
Pr -12.176 -4.630 2.701
Pr -0.158 -4.285 0.749
Pr -7.163 -3.365 0.855
Pr -5.171 -5.550 2.595
Tl -3.292 -5.220 -0.118
Tl -1.602 -1.964 -1.202
Tl -9.042 -3.695 3.568
Tl -10.732 -6.951 4.652
Tb -3.547 -2.309 1.544
Tb -8.788 -6.606 1.906
```

Calculated values
The value obtained for the calculated formation energy is -290 meV/atom. For the energy above the most stable polymorph in this dataset, the calculation gives 2.5 meV per atom.



[2]
A plane-wave DFT calculation with PBE-GGA was carried out for YCdI2N after structural relaxation. Values from VASP.

```
&SYSTEM
  ibrav = 0, nat = 5, ntyp = 4
/
ATOMIC_SPECIES
I 126.90 I.upf
Y 88.91 Y.upf
Cd 112.41 Cd.upf
N 14.01 N.upf
CELL_PARAMETERS angstrom
-5.886 -1.807 -0.978
-0.153 -2.574 5.677
-1.422 3.736 1.656
ATOMIC_POSITIONS angstrom
I -0.077 -1.287 2.838
I -2.943 -0.904 -0.489
Y 0.000 0.000 0.000
Cd -3.731 -0.322 3.177
N -0.711 1.868 0.828
```

Calculated values
The raw formation energy is -174.7 meV per atom. For the energy above the most stable polymorph in this dataset, the calculation gives 0.0 meV per atom.



[3]
A plane-wave DFT calculation with PBE-GGA was carried out for K4SO after structural relaxation. Values from VASP.

```
&SYSTEM
  ibrav = 0, nat = 24, ntyp = 3
/
ATOMIC_SPECIES
S 32.06 S.upf
O 16.00 O.upf
K 39.10 K.upf
CELL_PARAMETERS angstrom
-2.103 6.679 1.646
-8.472 -3.569 3.659
4.169 -0.859 8.814
ATOMIC_POSITIONS angstrom
S -4.955 -0.138 10.483
S -1.451 2.388 3.636
S -0.647 1.418 8.597
S -5.759 0.832 5.522
O -4.236 -1.785 1.830
O -2.151 -2.214 6.237
O 0.000 0.000 0.000
O 2.085 -0.430 4.407
K -3.163 2.660 6.378
K 1.720 3.409 9.577
K -8.091 2.839 4.104
K 0.258 3.710 6.487
K -8.126 -1.159 4.543
K -0.400 -0.159 5.609
K -4.625 2.961 3.288
K -1.781 -0.711 10.831
K -2.696 3.544 9.773
K -5.342 -3.289 10.359
K -3.243 -0.409 7.741
K -1.064 5.539 3.761
K -6.664 -1.460 7.633
K -3.710 -1.294 4.346
K -6.006 2.409 8.511
K -2.484 0.270 1.201
```

Calculated values
The raw formation energy is -1013.3 meV per atom. For the energy above the most stable polymorph in this dataset, the calculation gives 0.0 meV per atom.



[4]
A plane-wave DFT calculation with PBE-GGA was carried out for La6HoTm4 after structural relaxation. Values from VASP.

```
&SYSTEM
  ibrav = 0, nat = 22, ntyp = 3
/
ATOMIC_SPECIES
Ho 164.93 Ho.upf
La 138.91 La.upf
Tm 168.93 Tm.upf
CELL_PARAMETERS angstrom
-5.229 -1.567 2.129
3.228 -3.753 -2.897
11.377 -7.511 22.409
ATOMIC_POSITIONS angstrom
Ho 8.770 -7.390 16.097
Ho 0.606 -5.441 5.545
La 5.579 -9.152 15.026
La 3.074 -4.539 12.269
La -1.118 -4.377 2.095
La 2.240 -2.651 3.549
La 7.136 -10.180 18.093
La -2.614 -0.783 1.065
La 5.957 -6.702 17.756
La 7.024 -6.163 12.714
La 2.351 -6.667 8.928
La 3.797 -3.679 6.616
La 3.419 -6.129 3.886
La 10.493 -8.453 19.547
Tm 5.363 -4.849 9.602
Tm 4.523 -5.689 14.981
Tm 0.713 -1.779 0.442
Tm 7.371 -7.569 20.590
Tm 4.853 -7.142 6.661
Tm 4.012 -7.981 12.040
Tm 8.662 -11.051 21.199
Tm 2.005 -5.262 1.052
```

Calculated values
The value obtained for the calculated formation energy is 100 meV/atom.